1.
# PBE Rb2TcSbBr6, relaxed
# Uncorrected energy, eV/atom: -3.392
# Formation energy (no corrections), eV per formula unit: -7.5
# Density of states at the Fermi level, states/eV/cell: 9.5
# ρ, g/cm³: 4.08
# Crystal system: tetragonal
data_Rb2TcSbBr6
_chemical_formula_sum 'Rb4 Tc2 Sb2 Br12'
_cell_length_a 7.924
_cell_length_b 7.924
_cell_length_c 11.292
_cell_angle_alpha 90.00
_cell_angle_beta 90.00
_cell_angle_gamma 90.00
_symmetry_space_group_name_H-M 'I 4/m m m'
_symmetry_Int_Tables_number 139
_symmetry_space_group_name_Hall '-I 4 2'
loop_
_atom_site_label
_atom_site_type_symbol
_atom_site_fract_x
_atom_site_fract_y
_atom_site_fract_z
Rb1 Rb 0.000 0.500 0.250
Tc1 Tc 0.000 0.000 0.000
Sb1 Sb 0.000 0.000 0.500
Br1 Br 0.000 0.000 0.236
Br2 Br 0.238 0.238 0.000

=====

2.
# PBE CeHg3Pt8, relaxed
# Uncorrected energy, eV/atom: -4.929
# Density of states at the Fermi level, states/eV/cell: 36.9
# ρ, g/cm³: 17.06
# Crystal system: trigonal
# Energy relative to the elements, meV/atom: -332
data_CeHg3Pt8
_chemical_formula_sum 'Ce3 Hg9 Pt24'
_cell_length_a 5.4062
_cell_length_b 5.4062
_cell_length_c 26.5669
_cell_angle_alpha 90.00
_cell_angle_beta 90.00
_cell_angle_gamma 120.00
_symmetry_space_group_name_H-M 'R 3 m'
_symmetry_Int_Tables_number 160
_symmetry_space_group_name_Hall 'R 3 -2"'
loop_
_atom_site_label
_atom_site_type_symbol
_atom_site_fract_x
_atom_site_fract_y
_atom_site_fract_z
Ce1 Ce 0.0000 0.0000 0.0000
Hg1 Hg 0.0000 0.0000 0.3817
Hg2 Hg 0.0000 0.0000 0.5031
Hg3 Hg 0.0000 0.0000 0.8729
Pt1 Pt 0.0000 0.0000 0.1879
Pt2 Pt 0.0000 0.0000 0.6878
Pt3 Pt 0.0000 0.5000 0.4373
Pt4 Pt 0.0015 0.5008 0.9384

=====

3.
# PBE LiCdPbCl2, relaxed
# Uncorrected energy, eV/atom: -2.294
# Formation energy (no corrections), eV per formula unit: -1.2
# Density of states at the Fermi level, states/eV/cell: 5.2
# ρ, g/cm³: 4.04
# Crystal system: tetragonal
data_LiCdPbCl2
_chemical_formula_sum 'Li1 Cd1 Pb1 Cl2'
_cell_length_a 5.273
_cell_length_b 5.273
_cell_length_c 5.874
_cell_angle_alpha 90.00
_cell_angle_beta 90.00
_cell_angle_gamma 90.00
_symmetry_space_group_name_H-M 'P 4/m m m'
_symmetry_Int_Tables_number 123
_symmetry_space_group_name_Hall '-P 4 2'
loop_
_atom_site_label
_atom_site_type_symbol
_atom_site_fract_x
_atom_site_fract_y
_atom_site_fract_z
Li1 Li 0.000 0.000 0.000
Cd1 Cd 0.500 0.500 0.500
Pb1 Pb 0.500 0.500 0.000
Cl1 Cl 0.000 0.500 0.500

=====

4.
# PBE V2B4W, relaxed
# Uncorrected energy, eV/atom: -7.500
# Density of states at the Fermi level, states/eV/cell: 5.7
# ρ, g/cm³: 6.23
# Crystal system: tetragonal
# Energy relative to the elements, meV/atom: 771
data_V2B4W
_chemical_formula_sum 'V4 B8 W2'
_cell_length_a 4.013
_cell_length_b 4.013
_cell_length_c 10.885
_cell_angle_alpha 90.00
_cell_angle_beta 90.00
_cell_angle_gamma 90.00
_symmetry_space_group_name_H-M 'I 4/m m m'
_symmetry_Int_Tables_number 139
_symmetry_space_group_name_Hall '-I 4 2'
loop_
_atom_site_label
_atom_site_type_symbol
_atom_site_fract_x
_atom_site_fract_y
_atom_site_fract_z
V1 V 0.000 0.000 0.114
B1 B 0.000 0.000 0.302
B2 B 0.000 0.500 0.000
W1 W 0.000 0.000 0.500